1.
Compound: MgSnRuBr2
Source: Alexandria via LeMat-Bulk
Functional: PBEsol
Structure: optimized geometry

Computed properties:
energy relative to the elements, uncorrected = 0.7378 eV per atom
VASP energy = -3.24 eV per atom

CIF file:
```
data_MgSnRuBr2
_cell_length_a 5.5964
_cell_length_b 5.5964
_cell_length_c 5.1003
_cell_angle_alpha 90.00
_cell_angle_beta 90.00
_cell_angle_gamma 90.00
_symmetry_space_group_name_H-M 'P 4/m m m'
_symmetry_Int_Tables_number 123
_symmetry_space_group_name_Hall '-P 4 2'
loop_
_atom_site_label
_atom_site_type_symbol
_atom_site_fract_x
_atom_site_fract_y
_atom_site_fract_z
Mg1 Mg 0.0000 0.0000 0.0000
Sn1 Sn 0.5000 0.5000 0.5000
Ru1 Ru 0.5000 0.5000 0.0000
Br1 Br 0.0000 0.5000 0.5000
```

2.
Compound: Li7Cu2N3
Source: Alexandria via LeMat-Bulk
Functional: PBEsol
Structure: optimized geometry

Computed properties:
energy relative to the elements, uncorrected = -0.3812 eV per atom
VASP energy = -4.38 eV per atom

CIF file:
```
data_Li7Cu2N3
_cell_length_a 6.3174
_cell_length_b 6.3174
_cell_length_c 11.0250
_cell_angle_alpha 90.00
_cell_angle_beta 90.00
_cell_angle_gamma 120.00
_symmetry_space_group_name_H-M 'R -3 m'
_symmetry_Int_Tables_number 166
_symmetry_space_group_name_Hall '-R 3 2"'
loop_
_atom_site_label
_atom_site_type_symbol
_atom_site_fract_x
_atom_site_fract_y
_atom_site_fract_z
Li1 Li 0.0000 0.0000 0.0000
Li2 Li 0.0000 0.3340 0.5000
Cu1 Cu 0.0000 0.0000 0.3337
N1 N 0.0000 0.0000 0.1678
N2 N 0.0000 0.0000 0.5000
```